[1]
# PrLuIr2

An optimized crystal structure of PrLuIr2 (PBE, the Alexandria database).

Geometry as CIF:
```
data_PrLuIr2
_space_group_name_H-M_alt 'P 1'
_space_group_IT_number 1
_cell_length_a 3.369
_cell_length_b 3.369
_cell_length_c 7.302
_cell_angle_alpha 90.00
_cell_angle_beta 90.00
_cell_angle_gamma 90.00
loop_
_space_group_symop_operation_xyz
'x,y,z'
loop_
_atom_site_label
_atom_site_type_symbol
_atom_site_fract_x
_atom_site_fract_y
_atom_site_fract_z
Pr1 Pr 0.000 0.000 0.000
Lu1 Lu 0.000 0.000 0.500
Ir1 Ir 0.500 0.500 0.272
Ir2 Ir 0.500 0.500 0.728
```

Calculated values
energy above the lowest structure with this stoichiometry: 0.0000 eV per atom
ΔH_f (0 K): -697 meV per atom
total magnetic moment: 0.0 μB/f.u.

[2]
# PrLuIr4

An optimized crystal structure of PrLuIr4 (PBE, the Alexandria database).

Geometry as CIF:
```
data_PrLuIr4
_space_group_name_H-M_alt 'P 1'
_space_group_IT_number 1
_cell_length_a 5.390
_cell_length_b 5.390
_cell_length_c 5.390
_cell_angle_alpha 60.00
_cell_angle_beta 60.00
_cell_angle_gamma 60.00
loop_
_space_group_symop_operation_xyz
'x,y,z'
loop_
_atom_site_label
_atom_site_type_symbol
_atom_site_fract_x
_atom_site_fract_y
_atom_site_fract_z
Pr1 Pr 0.000 0.000 0.000
Lu1 Lu 0.250 0.250 0.250
Ir1 Ir 0.126 0.625 0.625
Ir2 Ir 0.625 0.126 0.625
Ir3 Ir 0.625 0.625 0.126
Ir4 Ir 0.625 0.625 0.625
```

Calculated values
ΔH_f (0 K): -728 meV per atom
total magnetic moment: 0.0 μB/f.u.

[3]
# Pr3LuIr

An optimized crystal structure of Pr3LuIr (PBE, the Alexandria database).

Geometry as CIF:
```
data_Pr3LuIr
_space_group_name_H-M_alt 'P 1'
_space_group_IT_number 1
_cell_length_a 5.636
_cell_length_b 5.636
_cell_length_c 5.636
_cell_angle_alpha 90.00
_cell_angle_beta 90.00
_cell_angle_gamma 90.00
loop_
_space_group_symop_operation_xyz
'x,y,z'
loop_
_atom_site_label
_atom_site_type_symbol
_atom_site_fract_x
_atom_site_fract_y
_atom_site_fract_z
Pr1 Pr 0.000 0.000 0.500
Pr2 Pr 0.000 0.500 0.000
Pr3 Pr 0.500 0.000 0.000
Lu1 Lu 0.500 0.500 0.500
Ir1 Ir 0.000 0.000 0.000
```

Calculated values
ΔH_f (0 K): -73 meV per atom
total magnetic moment: 0.0 μB/f.u.

[4]
# PrLuIr2

An optimized crystal structure of PrLuIr2 (PBE, the Alexandria database).

Geometry as CIF:
```
data_PrLuIr2
_space_group_name_H-M_alt 'P 1'
_space_group_IT_number 1
_cell_length_a 6.941
_cell_length_b 6.941
_cell_length_c 6.941
_cell_angle_alpha 90.00
_cell_angle_beta 90.00
_cell_angle_gamma 90.00
loop_
_space_group_symop_operation_xyz
'x,y,z'
loop_
_atom_site_label
_atom_site_type_symbol
_atom_site_fract_x
_atom_site_fract_y
_atom_site_fract_z
Pr1 Pr 0.000 0.000 0.000
Pr2 Pr 0.000 0.500 0.500
Pr3 Pr 0.500 0.000 0.500
Pr4 Pr 0.500 0.500 0.000
Lu1 Lu 0.000 0.000 0.500
Lu2 Lu 0.000 0.500 0.000
Lu3 Lu 0.500 0.000 0.000
Lu4 Lu 0.500 0.500 0.500
Ir1 Ir 0.250 0.250 0.250
Ir2 Ir 0.250 0.250 0.750
Ir3 Ir 0.250 0.750 0.250
Ir4 Ir 0.250 0.750 0.750
Ir5 Ir 0.750 0.250 0.250
Ir6 Ir 0.750 0.250 0.750
Ir7 Ir 0.750 0.750 0.250
Ir8 Ir 0.750 0.750 0.750
```

Calculated values
energy above the lowest structure with this stoichiometry: 0.0334 eV per atom
ΔH_f (0 K): -664 meV per atom
total magnetic moment: 0.0 μB/f.u.

[5]
# PrLuIrPt

An optimized crystal structure of PrLuIrPt (PBE, the Alexandria database).

Geometry as CIF:
```
data_PrLuIrPt
_space_group_name_H-M_alt 'P 1'
_space_group_IT_number 1
_cell_length_a 7.006
_cell_length_b 7.006
_cell_length_c 7.006
_cell_angle_alpha 90.00
_cell_angle_beta 90.00
_cell_angle_gamma 90.00
loop_
_space_group_symop_operation_xyz
'x,y,z'
loop_
_atom_site_label
_atom_site_type_symbol
_atom_site_fract_x
_atom_site_fract_y
_atom_site_fract_z
Pr1 Pr 0.000 0.000 0.000
Pr2 Pr 0.000 0.500 0.500
Pr3 Pr 0.500 0.000 0.500
Pr4 Pr 0.500 0.500 0.000
Lu1 Lu 0.000 0.000 0.500
Lu2 Lu 0.000 0.500 0.000
Lu3 Lu 0.500 0.000 0.000
Lu4 Lu 0.500 0.500 0.500
Ir1 Ir 0.250 0.250 0.750
Ir2 Ir 0.250 0.750 0.250
Ir3 Ir 0.750 0.250 0.250
Ir4 Ir 0.750 0.750 0.750
Pt1 Pt 0.250 0.250 0.250
Pt2 Pt 0.250 0.750 0.750
Pt3 Pt 0.750 0.250 0.750
Pt4 Pt 0.750 0.750 0.250
```

Calculated values
ΔH_f (0 K): -896 meV per atom
total magnetic moment: 0.0 μB/f.u.

[6]
# PrLuTlIr

An optimized crystal structure of PrLuTlIr (PBE, the Alexandria database).

Geometry as CIF:
```
data_PrLuTlIr
_space_group_name_H-M_alt 'P 1'
_space_group_IT_number 1
_cell_length_a 7.296
_cell_length_b 7.296
_cell_length_c 7.296
_cell_angle_alpha 90.00
_cell_angle_beta 90.00
_cell_angle_gamma 90.00
loop_
_space_group_symop_operation_xyz
'x,y,z'
loop_
_atom_site_label
_atom_site_type_symbol
_atom_site_fract_x
_atom_site_fract_y
_atom_site_fract_z
Pr1 Pr 0.000 0.000 0.000
Pr2 Pr 0.000 0.500 0.500
Pr3 Pr 0.500 0.000 0.500
Pr4 Pr 0.500 0.500 0.000
Lu1 Lu 0.000 0.000 0.500
Lu2 Lu 0.000 0.500 0.000
Lu3 Lu 0.500 0.000 0.000
Lu4 Lu 0.500 0.500 0.500
Tl1 Tl 0.250 0.250 0.250
Tl2 Tl 0.250 0.750 0.750
Tl3 Tl 0.750 0.250 0.750
Tl4 Tl 0.750 0.750 0.250
Ir1 Ir 0.250 0.250 0.750
Ir2 Ir 0.250 0.750 0.250
Ir3 Ir 0.750 0.250 0.250
Ir4 Ir 0.750 0.750 0.750
```

Calculated values
ΔH_f (0 K): -398 meV per atom
total magnetic moment: 0.0 μB/f.u.

What did the fifth record say?
# PrLuIrPt

An optimized crystal structure of PrLuIrPt (PBE, the Alexandria database).

Geometry as CIF:
```
data_PrLuIrPt
_space_group_name_H-M_alt 'P 1'
_space_group_IT_number 1
_cell_length_a 7.006
_cell_length_b 7.006
_cell_length_c 7.006
_cell_angle_alpha 90.00
_cell_angle_beta 90.00
_cell_angle_gamma 90.00
loop_
_space_group_symop_operation_xyz
'x,y,z'
loop_
_atom_site_label
_atom_site_type_symbol
_atom_site_fract_x
_atom_site_fract_y
_atom_site_fract_z
Pr1 Pr 0.000 0.000 0.000
Pr2 Pr 0.000 0.500 0.500
Pr3 Pr 0.500 0.000 0.500
Pr4 Pr 0.500 0.500 0.000
Lu1 Lu 0.000 0.000 0.500
Lu2 Lu 0.000 0.500 0.000
Lu3 Lu 0.500 0.000 0.000
Lu4 Lu 0.500 0.500 0.500
Ir1 Ir 0.250 0.250 0.750
Ir2 Ir 0.250 0.750 0.250
Ir3 Ir 0.750 0.250 0.250
Ir4 Ir 0.750 0.750 0.750
Pt1 Pt 0.250 0.250 0.250
Pt2 Pt 0.250 0.750 0.750
Pt3 Pt 0.750 0.250 0.750
Pt4 Pt 0.750 0.750 0.250
```

Calculated values
ΔH_f (0 K): -896 meV per atom
total magnetic moment: 0.0 μB/f.u.